1.
Computed, not measured: a relaxed structure of Zn3Sn4 at the GGA-PBE level of DFT.

## Properties
**Space group**: No. 166
**Electronic total energy**: -2.70 eV/atom

Unit cell a=11.8634 b=11.8634 c=11.8634 alpha=19.65 beta=19.65 gamma=19.65
Sites, in units of the cell vectors:
Zn1 0.5757 0.5757 0.5757
Sn1 0.8643 0.8643 0.8643
Zn2 0.0022 0.0022 0.0022
Zn3 0.4285 0.4285 0.4285
Sn2 0.7149 0.7149 0.7149
Sn3 0.2894 0.2894 0.2894
Sn4 0.1399 0.1399 0.1399


2.
Computed, not measured: a relaxed structure of NbPdS3 at the GGA-PBE level of DFT.

## Properties
**Space group**: No. 221
**Electronic total energy**: -4.99 eV/atom

Unit cell a=4.6123 b=4.6123 c=4.6123 alpha=90.00 beta=90.00 gamma=90.00
Last column: magnetic moment on the atom in μB.
Sites, in units of the cell vectors:
S1 0.5000 0.5000 0.0000  -0.15
S2 0.5000 0.0000 0.5000  -0.21
Nb1 0.0000 0.0000 0.0000  2.00
S3 0.0000 0.5000 0.5000  -0.18
Pd1 0.5000 0.5000 0.5000  -0.05